{
  "formula": "Ce3Pr2Au7",
  "functional": "GGA-PBE",
  "state": "optimized geometry",
  "cell": [[2.3251, -16.4375, 0.0000], [2.3251, 16.4375, 0.0000], [0.0000, 0.0000, 4.2730]],
  "species": ["Ce", "Ce", "Ce", "Pr", "Pr", "Au", "Au", "Au", "Au", "Au", "Au", "Au"],
  "frac_coords": [[0.0000, 0.0000, 0.0000], [0.2053, 0.7947, 0.0000], [0.7947, 0.2053, 0.0000], [0.3727, 0.6273, 0.5000], [0.6273, 0.3727, 0.5000], [0.0690, 0.9310, 0.5000], [0.2785, 0.7215, 0.5000], [0.4365, 0.5635, 0.0000], [0.5000, 0.5000, 0.5000], [0.5635, 0.4365, 0.0000], [0.7215, 0.2785, 0.5000], [0.9310, 0.0690, 0.5000]],
  "crystal_system": "orthorhombic",
  "magnetic_moment_mub_per_cell": 3.48,
  "delta_e_f_mev_per_atom": -442
}